# 1
Entry from Alexandria: a geometry-optimized K7Rb3Hg2 structure (PBE).

The structure in POSCAR format:
```
K7Rb3Hg2
1.0
6.131 0.000 0.000
0.000 6.809 -0.184
0.000 0.893 18.790
K Rb Hg
7 3 2
direct
0.500 0.028 0.805
0.500 0.972 0.195
0.500 0.752 0.418
0.500 0.248 0.582
0.000 0.000 0.000
0.000 0.491 0.825
0.000 0.509 0.175
0.000 0.753 0.620
0.000 0.247 0.380
0.500 0.500 0.000
0.500 0.446 0.268
0.500 0.554 0.732
```

Results
* formation enthalpy at 0 K: -59.8 meV per atom
* total magnetization: 0.000 μB per formula unit
* DFT total energy: -0.9922 eV per atom
* SG: P2/m


# 2
Entry from Alexandria: a geometry-optimized Ag4P structure (PBE).

The structure in POSCAR format:
```
Ag4P
1.0
4.530 -5.239 3.353
-0.414 -5.892 4.932
-2.478 3.926 -6.136
Ag P
4 1
direct
0.250 0.750 0.500
0.750 0.250 0.500
0.407 0.407 0.000
0.593 0.593 0.000
0.000 0.000 0.000
```

Results
* formation enthalpy at 0 K: 481.7 meV per atom
* total magnetization: 0.000 μB per formula unit
* relative energy among the computed polymorphs: 256 meV per atom
* DFT total energy: -2.8813 eV per atom
* SG: I4/mmm


# 3
Entry from Alexandria: a geometry-optimized Cs2RuS structure (PBE).

The structure in POSCAR format:
```
Cs2RuS
1.0
-6.416 6.416 2.194
6.416 -6.416 2.194
6.416 6.416 -2.194
Cs Ru S
4 2 2
direct
0.047 0.375 0.172
0.203 0.875 0.828
0.125 0.953 0.328
0.625 0.797 0.672
0.000 0.000 0.000
0.250 0.750 0.500
0.500 0.500 0.000
0.750 0.250 0.500
```

Results
* E_form (uncorrected): -0.06 eV per atom
* total magnetization: 0.000 μB per formula unit
* relative energy among the computed polymorphs: 0 meV per atom
* DFT total energy: -3.8333 eV per atom
* SG: I-42d


# 4
Entry from Alexandria: a geometry-optimized Ca2HfNbO6 structure (PBE).

The structure in POSCAR format:
```
Ca2HfNbO6
1.0
0.000 4.077 4.077
4.077 0.000 4.077
4.077 4.077 0.000
Ca Hf Nb O
2 1 1 6
direct
0.250 0.250 0.250
0.750 0.750 0.750
0.000 0.000 0.000
0.500 0.500 0.500
0.252 0.748 0.252
0.748 0.252 0.748
0.748 0.748 0.252
0.252 0.252 0.748
0.252 0.748 0.748
0.748 0.252 0.252
```

Results
* E_form (uncorrected): -2.92 eV per atom
* total magnetization: 0.000 μB per formula unit
* DFT total energy: -8.2948 eV per atom
* SG: Fm-3m


# 5
Entry from Alexandria: a geometry-optimized La2SnAu2 structure (PBE).

The structure in POSCAR format:
```
La2SnAu2
1.0
-1.670 -3.771 0.590
1.165 -1.117 -3.841
6.914 -5.154 1.335
Au Sn La
2 1 2
direct
0.750 0.250 0.500
0.250 0.750 0.500
0.000 0.000 0.000
0.393 0.393 0.213
0.607 0.607 0.787
```

Results
* formation enthalpy at 0 K: -581.5 meV per atom
* total magnetization: 0.000 μB per formula unit
* DFT total energy: -4.6640 eV per atom
* SG: I4/mmm


# 6
Entry from Alexandria: a geometry-optimized AcSmHo2Sb4 structure (PBE).

The structure in POSCAR format:
```
AcSmHo2Sb4
1.0
-3.696 -1.654 -1.987
-1.609 -4.119 6.420
-4.476 4.264 4.776
Ac Sm Ho Sb
1 1 2 4
direct
0.500 0.500 0.000
0.000 0.500 0.500
0.000 0.000 0.000
0.500 0.000 0.500
0.000 0.769 0.736
0.000 0.231 0.264
0.500 0.763 0.254
0.500 0.237 0.746
```

Results
* E_form (uncorrected): -1.13 eV per atom
* total magnetization: 0.000 μB per formula unit
* DFT total energy: -5.4375 eV per atom
* SG: P2/m


- Which of these has the lowest DFT total energy?
  Ca2HfNbO6